P:
# Cu3OsN (PBE, optimized geometry)
# * ρ: 6.74 g/cm3
data_Cu3OsN
_chemical_formula_sum 'Cu3 Os1 N1'
_cell_length_a 4.600
_cell_length_b 4.600
_cell_length_c 4.600
_cell_angle_alpha 90.00
_cell_angle_beta 90.00
_cell_angle_gamma 90.00
_space_group_name_H-M_alt 'P m -3 m'
_space_group_IT_number 221
_space_group_name_Hall '-P 4 2 3'
loop_
_atom_site_label
_atom_site_fract_x
_atom_site_fract_y
_atom_site_fract_z
Cu1 0.000 0.000 0.500
Os1 0.000 0.000 0.000
N1 0.500 0.500 0.500


Q:
# Cu3OsN (PBE, optimized geometry)
# * ρ: 11.32 g/cm3
data_Cu3OsN
_chemical_formula_sum 'Cu3 Os1 N1'
_cell_length_a 3.870
_cell_length_b 3.870
_cell_length_c 3.870
_cell_angle_alpha 90.00
_cell_angle_beta 90.00
_cell_angle_gamma 90.00
_space_group_name_H-M_alt 'P m -3 m'
_space_group_IT_number 221
_space_group_name_Hall '-P 4 2 3'
loop_
_atom_site_label
_atom_site_fract_x
_atom_site_fract_y
_atom_site_fract_z
Cu1 0.000 0.000 0.500
Os1 0.500 0.500 0.500
N1 0.000 0.000 0.000


Which structure loses on stability? P does.


P:
# CuOsPtN2 (PBE, optimized geometry)
# * ρ: 11.63 g/cm3
data_CuOsPtN2
_chemical_formula_sum 'Cu1 Os1 Pt1 N2'
_cell_length_a 3.739
_cell_length_b 3.739
_cell_length_c 4.873
_cell_angle_alpha 90.00
_cell_angle_beta 90.00
_cell_angle_gamma 90.00
_space_group_name_H-M_alt 'P 4/m m m'
_space_group_IT_number 123
_space_group_name_Hall '-P 4 2'
loop_
_atom_site_label
_atom_site_fract_x
_atom_site_fract_y
_atom_site_fract_z
Cu1 0.000 0.000 0.000
Os1 0.500 0.500 0.500
Pt1 0.000 0.000 0.500
N1 0.000 0.500 0.000


Q:
# CuOsPtN2 (PBE, optimized geometry)
# * ρ: 11.05 g/cm3
data_CuOsPtN2
_chemical_formula_sum 'Cu1 Os1 Pt1 N2'
_cell_length_a 3.819
_cell_length_b 3.819
_cell_length_c 4.915
_cell_angle_alpha 90.00
_cell_angle_beta 90.00
_cell_angle_gamma 90.00
_space_group_name_H-M_alt 'P 4/m m m'
_space_group_IT_number 123
_space_group_name_Hall '-P 4 2'
loop_
_atom_site_label
_atom_site_fract_x
_atom_site_fract_y
_atom_site_fract_z
Cu1 0.000 0.000 0.000
Os1 0.500 0.500 0.000
Pt1 0.000 0.000 0.500
N1 0.000 0.500 0.500


Which structure loses on stability? P does.


P:
# CuOsS2N (PBE, optimized geometry)
# * ρ: 6.54 g/cm3
data_CuOsS2N
_chemical_formula_sum 'Cu1 Os1 S2 N1'
_cell_length_a 4.799
_cell_length_b 4.799
_cell_length_c 3.659
_cell_angle_alpha 90.00
_cell_angle_beta 90.00
_cell_angle_gamma 90.00
_space_group_name_H-M_alt 'P 4/m m m'
_space_group_IT_number 123
_space_group_name_Hall '-P 4 2'
loop_
_atom_site_label
_atom_site_fract_x
_atom_site_fract_y
_atom_site_fract_z
Cu1 0.000 0.000 0.000
Os1 0.500 0.500 0.500
S1 0.000 0.500 0.500
N1 0.500 0.500 0.000


Q:
# CuOsS2N (PBE, optimized geometry)
# * ρ: 7.65 g/cm3
data_CuOsS2N
_chemical_formula_sum 'Cu1 Os1 S2 N1'
_cell_length_a 4.606
_cell_length_b 4.606
_cell_length_c 3.397
_cell_angle_alpha 90.00
_cell_angle_beta 90.00
_cell_angle_gamma 90.00
_space_group_name_H-M_alt 'P 4/m m m'
_space_group_IT_number 123
_space_group_name_Hall '-P 4 2'
loop_
_atom_site_label
_atom_site_fract_x
_atom_site_fract_y
_atom_site_fract_z
Cu1 0.000 0.000 0.000
Os1 0.500 0.500 0.500
S1 0.000 0.500 0.000
N1 0.000 0.000 0.500


Which structure loses on stability? Q does.


P:
# CuOsSe2N (PBE, optimized geometry)
# * ρ: 7.47 g/cm3
data_CuOsSe2N
_chemical_formula_sum 'Cu1 Os1 Se2 N1'
_cell_length_a 5.091
_cell_length_b 5.091
_cell_length_c 3.649
_cell_angle_alpha 90.00
_cell_angle_beta 90.00
_cell_angle_gamma 90.00
_space_group_name_H-M_alt 'P 4/m m m'
_space_group_IT_number 123
_space_group_name_Hall '-P 4 2'
loop_
_atom_site_label
_atom_site_fract_x
_atom_site_fract_y
_atom_site_fract_z
Cu1 0.000 0.000 0.000
Os1 0.500 0.500 0.500
Se1 0.000 0.500 0.500
N1 0.500 0.500 0.000


Q:
# CuOsSe2N (PBE, optimized geometry)
# * ρ: 8.83 g/cm3
data_CuOsSe2N
_chemical_formula_sum 'Cu1 Os1 Se2 N1'
_cell_length_a 4.860
_cell_length_b 4.860
_cell_length_c 3.389
_cell_angle_alpha 90.00
_cell_angle_beta 90.00
_cell_angle_gamma 90.00
_space_group_name_H-M_alt 'P 4/m m m'
_space_group_IT_number 123
_space_group_name_Hall '-P 4 2'
loop_
_atom_site_label
_atom_site_fract_x
_atom_site_fract_y
_atom_site_fract_z
Cu1 0.000 0.000 0.000
Os1 0.500 0.500 0.500
Se1 0.000 0.500 0.000
N1 0.000 0.000 0.500


Which structure loses on stability? Q does.


P:
# CuTeOsN2 (PBE, optimized geometry)
# * ρ: 8.12 g/cm3
data_CuTeOsN2
_chemical_formula_sum 'Cu1 Te1 Os1 N2'
_cell_length_a 3.781
_cell_length_b 3.781
_cell_length_c 5.852
_cell_angle_alpha 90.00
_cell_angle_beta 90.00
_cell_angle_gamma 90.00
_space_group_name_H-M_alt 'P 4/m m m'
_space_group_IT_number 123
_space_group_name_Hall '-P 4 2'
loop_
_atom_site_label
_atom_site_fract_x
_atom_site_fract_y
_atom_site_fract_z
Cu1 0.000 0.000 0.000
Te1 0.500 0.500 0.000
Os1 0.500 0.500 0.500
N1 0.000 0.500 0.500


Q:
# CuTeOsN2 (PBE, optimized geometry)
# * ρ: 8.40 g/cm3
data_CuTeOsN2
_chemical_formula_sum 'Cu1 Te1 Os1 N2'
_cell_length_a 3.769
_cell_length_b 3.769
_cell_length_c 5.696
_cell_angle_alpha 90.00
_cell_angle_beta 90.00
_cell_angle_gamma 90.00
_space_group_name_H-M_alt 'P 4/m m m'
_space_group_IT_number 123
_space_group_name_Hall '-P 4 2'
loop_
_atom_site_label
_atom_site_fract_x
_atom_site_fract_y
_atom_site_fract_z
Cu1 0.000 0.000 0.000
Te1 0.000 0.000 0.500
Os1 0.500 0.500 0.500
N1 0.000 0.500 0.000


Which structure loses on stability? Q does.


P:
# CuP2SN (PBE, optimized geometry)
# * ρ: 3.09 g/cm3
data_CuP2SN
_chemical_formula_sum 'Cu1 P2 S1 N1'
_cell_length_a 4.515
_cell_length_b 4.515
_cell_length_c 4.525
_cell_angle_alpha 90.00
_cell_angle_beta 90.00
_cell_angle_gamma 90.00
_space_group_name_H-M_alt 'P 4/m m m'
_space_group_IT_number 123
_space_group_name_Hall '-P 4 2'
loop_
_atom_site_label
_atom_site_fract_x
_atom_site_fract_y
_atom_site_fract_z
Cu1 0.000 0.000 0.000
P1 0.000 0.500 0.000
S1 0.000 0.000 0.500
N1 0.500 0.500 0.500


Q:
# CuP2SN (PBE, optimized geometry)
# * ρ: 4.21 g/cm3
data_CuP2SN
_chemical_formula_sum 'Cu1 P2 S1 N1'
_cell_length_a 3.990
_cell_length_b 3.990
_cell_length_c 4.249
_cell_angle_alpha 90.00
_cell_angle_beta 90.00
_cell_angle_gamma 90.00
_space_group_name_H-M_alt 'P 4/m m m'
_space_group_IT_number 123
_space_group_name_Hall '-P 4 2'
loop_
_atom_site_label
_atom_site_fract_x
_atom_site_fract_y
_atom_site_fract_z
Cu1 0.000 0.000 0.000
P1 0.000 0.500 0.500
S1 0.500 0.500 0.000
N1 0.500 0.500 0.500


Which structure loses on stability? P does.


P:
# CuPSeN2 (PBE, optimized geometry)
# * ρ: 4.75 g/cm3
data_CuPSeN2
_chemical_formula_sum 'Cu1 P1 Se1 N2'
_cell_length_a 3.341
_cell_length_b 3.341
_cell_length_c 6.311
_cell_angle_alpha 90.00
_cell_angle_beta 90.00
_cell_angle_gamma 90.00
_space_group_name_H-M_alt 'P 4/m m m'
_space_group_IT_number 123
_space_group_name_Hall '-P 4 2'
loop_
_atom_site_label
_atom_site_fract_x
_atom_site_fract_y
_atom_site_fract_z
Cu1 0.000 0.000 0.000
P1 0.500 0.500 0.500
Se1 0.500 0.500 0.000
N1 0.000 0.500 0.500


Q:
# CuPSeN2 (PBE, optimized geometry)
# * ρ: 4.06 g/cm3
data_CuPSeN2
_chemical_formula_sum 'Cu1 P1 Se1 N2'
_cell_length_a 3.696
_cell_length_b 3.696
_cell_length_c 6.027
_cell_angle_alpha 90.00
_cell_angle_beta 90.00
_cell_angle_gamma 90.00
_space_group_name_H-M_alt 'P 4/m m m'
_space_group_IT_number 123
_space_group_name_Hall '-P 4 2'
loop_
_atom_site_label
_atom_site_fract_x
_atom_site_fract_y
_atom_site_fract_z
Cu1 0.000 0.000 0.000
P1 0.500 0.500 0.500
Se1 0.000 0.000 0.500
N1 0.000 0.500 0.000


Which structure loses on stability? Q does.